The following is a PBE calculation of a relaxed structure of ZnPd6Au3, from the Alexandria database.

```
ZnPd6Au3
1.0
7.5358 0.0000 0.0000
0.0000 4.6394 0.0000
-3.5510 0.0000 9.1994
Zn Pd Au
2 12 6
Direct
0.0400 0.2500 0.4180
0.9600 0.7500 0.5820
0.0642 0.7500 0.8667
0.1366 0.2500 0.7078
0.1554 0.7500 0.1767
0.2428 0.7500 0.4795
0.3242 0.2500 0.3252
0.4586 0.7500 0.0756
0.5414 0.2500 0.9244
0.6758 0.7500 0.6748
0.7572 0.2500 0.5205
0.8446 0.2500 0.8233
0.8634 0.7500 0.2922
0.9358 0.2500 0.1333
0.2278 0.2500 0.0195
0.3702 0.7500 0.7774
0.4529 0.2500 0.6231
0.5471 0.7500 0.3769
0.6298 0.2500 0.2226
0.7722 0.7500 0.9805
```

Fermi-level density of states	1.028	states/eV/atom
E above lowest polymorph	0.0	meV/atom
ρ	13.37	g/cm³
calculated formation energy	-0.151	eV per atom


The following is a PBE calculation of a relaxed structure of Zn7PdAu3, from the Alexandria database.

```
Zn7PdAu3
1.0
1.4505 -14.1747 0.0000
1.4505 14.1747 0.0000
0.0000 0.0000 10.6992
Zn Pd Au
14 2 6
Direct
0.0104 0.9896 0.6238
0.0104 0.9896 0.8762
0.0836 0.9164 0.2500
0.1261 0.8739 0.5961
0.1261 0.8739 0.9039
0.2264 0.7736 0.5748
0.2264 0.7736 0.9252
0.7736 0.2264 0.0748
0.7736 0.2264 0.4252
0.8739 0.1261 0.0961
0.8739 0.1261 0.4039
0.9164 0.0836 0.7500
0.9896 0.0104 0.1238
0.9896 0.0104 0.3762
0.4286 0.5714 0.2500
0.5714 0.4286 0.7500
0.3162 0.6838 0.2500
0.4315 0.5685 0.5478
0.4315 0.5685 0.9522
0.5685 0.4315 0.0478
0.5685 0.4315 0.4522
0.6838 0.3162 0.7500
```

Fermi-level density of states	0.277	states/eV/atom
ρ	8.72	g/cm³
calculated formation energy	-0.123	eV per atom


The following is a PBE calculation of a relaxed structure of ZnPd2Au2, from the Alexandria database.

```
ZnPd2Au2
1.0
6.5491 0.0000 0.0000
0.0000 6.5491 0.0000
0.0000 0.0000 4.0857
Zn Pd Au
2 4 4
Direct
0.0000 0.0000 0.0000
0.5000 0.5000 0.0000
0.1443 0.3557 0.0000
0.3557 0.8557 0.0000
0.6443 0.1443 0.0000
0.8557 0.6443 0.0000
0.1592 0.6592 0.5000
0.3408 0.1592 0.5000
0.6592 0.8408 0.5000
0.8408 0.3408 0.5000
```

Fermi-level density of states	0.204	states/eV/atom
E above lowest polymorph	129.2	meV/atom
ρ	12.74	g/cm³
calculated formation energy	-0.112	eV per atom


The following is a PBE calculation of a relaxed structure of Zn3PdAu, from the Alexandria database.

```
Zn3PdAu
1.0
4.4937 -1.4719 0.0000
4.4937 1.4719 0.0000
-1.5757 0.0000 6.1295
Zn Pd Au
3 1 1
Direct
0.0000 0.0000 0.0000
0.0802 0.0802 0.4468
0.7712 0.7712 0.2388
0.6946 0.6946 0.8315
0.3821 0.3821 0.6066
```

Fermi-level density of states	0.425	states/eV/atom
E above lowest polymorph	29.1	meV/atom
ρ	10.23	g/cm³
calculated formation energy	-0.184	eV per atom


The following is a PBE calculation of a relaxed structure of Zn2Pd4Au5, from the Alexandria database.

```
Zn2Pd4Au5
1.0
7.0930 0.0000 0.0000
0.0000 2.9083 0.0000
-0.6825 0.0000 8.8398
Zn Pd Au
2 4 5
Direct
0.0770 0.0000 0.1391
0.9230 0.0000 0.8609
0.1861 0.5000 0.3735
0.2347 0.5000 0.9342
0.7653 0.5000 0.0658
0.8139 0.5000 0.6265
0.1674 0.0000 0.6511
0.4531 0.0000 0.1768
0.5000 0.0000 0.5000
0.5469 0.0000 0.8232
0.8326 0.0000 0.3489
```

Fermi-level density of states	0.484	states/eV/atom
ρ	14.04	g/cm³
calculated formation energy	-0.205	eV per atom


The following is a PBE calculation of a relaxed structure of ZnPd6Au, from the Alexandria database.

```
ZnPd6Au
1.0
4.4596 -1.9699 0.0000
4.4596 1.9699 0.0000
-3.4712 0.0000 7.0548
Zn Pd Au
1 6 1
Direct
0.0000 0.0000 0.0000
0.2475 0.2475 0.3686
0.2498 0.2498 0.8788
0.4990 0.4990 0.7585
0.5010 0.5010 0.2415
0.7502 0.7502 0.1212
0.7525 0.7525 0.6314
0.0000 0.0000 0.5000
```

Fermi-level density of states	1.363	states/eV/atom
E above lowest polymorph	0.0	meV/atom
ρ	12.07	g/cm³
calculated formation energy	-0.192	eV per atom


The following is a PBE calculation of a relaxed structure of ZnPd6Au2, from the Alexandria database.

```
ZnPd6Au2
1.0
4.4600 -1.9995 0.0000
4.4600 1.9995 0.0000
-2.7600 0.0000 7.9580
Zn Pd Au
1 6 2
Direct
0.0000 0.0000 0.0000
0.0055 0.0055 0.6779
0.3267 0.3267 0.1065
0.3432 0.3432 0.7884
0.6568 0.6568 0.2116
0.6733 0.6733 0.8935
0.9945 0.9945 0.3221
0.3324 0.3324 0.4421
0.6676 0.6676 0.5579
```

Fermi-level density of states	1.131	states/eV/atom
E above lowest polymorph	0.0	meV/atom
ρ	12.84	g/cm³
calculated formation energy	-0.189	eV per atom


The following is a PBE calculation of a relaxed structure of ZnPd5Au6, from the Alexandria database.

```
ZnPd5Au6
1.0
2.0337 -6.0713 0.0000
2.0337 6.0713 0.0000
-0.0385 0.0000 8.0428
Zn Pd Au
1 5 6
Direct
0.0000 0.0000 0.0000
0.0000 0.0000 0.5000
0.3328 0.6672 0.5000
0.3394 0.6606 0.0000
0.6606 0.3394 0.0000
0.6672 0.3328 0.5000
0.1669 0.8335 0.2476
0.1665 0.8331 0.7524
0.4999 0.4999 0.2515
0.5001 0.5001 0.7485
0.8335 0.1669 0.2476
0.8331 0.1665 0.7524
```

Fermi-level density of states	0.535	states/eV/atom
ρ	14.88	g/cm³
calculated formation energy	-0.148	eV per atom


The following is a PBE calculation of a relaxed structure of ZnPd7Au12, from the Alexandria database.

```
ZnPd7Au12
1.0
6.0083 3.4689 2.8035
-6.0083 3.4689 2.8035
0.0000 -6.9378 2.8035
Zn Pd Au
1 7 12
Direct
0.0000 0.0000 0.0000
0.0200 0.9078 0.3171
0.0922 0.6829 0.9800
0.3171 0.0200 0.9078
0.5000 0.5000 0.5000
0.6829 0.9800 0.0922
0.9078 0.3171 0.0200
0.9800 0.0922 0.6829
0.0363 0.3024 0.4118
0.2258 0.6623 0.3610
0.3024 0.4118 0.0363
0.3377 0.6390 0.7742
0.3610 0.2258 0.6623
0.4118 0.0363 0.3024
0.5882 0.9637 0.6976
0.6390 0.7742 0.3377
0.6623 0.3610 0.2258
0.6976 0.5882 0.9637
0.7742 0.3377 0.6390
0.9637 0.6976 0.5882
```

Fermi-level density of states	0.425	states/eV/atom
ρ	15.03	g/cm³
calculated formation energy	-0.042	eV per atom


The following is a PBE calculation of a relaxed structure of ZnPd3Au, from the Alexandria database.

```
ZnPd3Au
1.0
4.7922 0.0000 0.0000
1.3258 4.6057 0.0000
0.6654 2.2906 7.0791
Zn Pd Au
2 6 2
Direct
0.2501 0.1467 0.2066
0.7499 0.8533 0.7934
0.2500 0.5512 0.3973
0.2499 0.9489 0.6028
0.2507 0.7503 0.0014
0.7493 0.2497 0.9986
0.7501 0.0511 0.3972
0.7500 0.4488 0.6027
0.2487 0.3504 0.8015
0.7513 0.6496 0.1985
```

Fermi-level density of states	0.452	states/eV/atom
E above lowest polymorph	0.0	meV/atom
ρ	12.36	g/cm³
calculated formation energy	-0.276	eV per atom


The following is a PBE calculation of a relaxed structure of Zn2Pd5Au, from the Alexandria database.

```
Zn2Pd5Au
1.0
5.5434 0.0000 0.0000
0.0000 11.1011 0.0000
0.0000 0.0000 3.9847
Zn Pd Au
4 10 2
Direct
0.2347 0.1290 0.0000
0.2653 0.6290 0.0000
0.7347 0.3710 0.0000
0.7653 0.8710 0.0000
0.0000 0.0000 0.5000
0.0131 0.7495 0.5000
0.2444 0.3742 0.0000
0.2556 0.8742 0.0000
0.4869 0.2495 0.5000
0.5000 0.5000 0.5000
0.5131 0.7505 0.5000
0.7444 0.1258 0.0000
0.7556 0.6258 0.0000
0.9869 0.2505 0.5000
0.0000 0.5000 0.5000
0.5000 0.0000 0.5000
```

Fermi-level density of states	1.020	states/eV/atom
E above lowest polymorph	0.0	meV/atom
ρ	11.65	g/cm³
calculated formation energy	-0.308	eV per atom


The following is a PBE calculation of a relaxed structure of ZnPd5Au8, from the Alexandria database.

```
ZnPd5Au8
1.0
-3.9822 3.9822 3.9765
3.9822 -3.9822 3.9765
3.9822 3.9822 -3.9765
Zn Pd Au
1 5 8
Direct
0.0000 0.0000 0.0000
0.2522 0.1141 0.6209
0.3687 0.7478 0.8619
0.4932 0.6313 0.3791
0.7500 0.2500 0.5000
0.8859 0.5068 0.1381
0.1206 0.3571 0.4053
0.1272 0.3704 0.9121
0.2847 0.8794 0.2365
0.4582 0.2150 0.0879
0.6296 0.5418 0.7568
0.6429 0.0481 0.7635
0.7850 0.8728 0.2432
0.9519 0.7153 0.5947
```

Fermi-level density of states	0.478	states/eV/atom
ρ	14.31	g/cm³
calculated formation energy	0.047	eV per atom


Which of these has the lowest calculated formation energy? Zn2Pd5Au